# CaCr4Co

An optimized crystal structure of CaCr4Co (GGA-PBEsol, Alexandria).

formation energy = 65.59 kJ/mol of atoms

Cell and atoms, written as CIF:
```
data_CaCr4Co
_chemical_formula_sum 'Ca1 Cr4 Co1'
_cell_length_a 4.831
_cell_length_b 4.831
_cell_length_c 4.831
_cell_angle_alpha 60.00
_cell_angle_beta 60.00
_cell_angle_gamma 60.00
_space_group_name_H-M_alt 'P 1'
_space_group_IT_number 1
loop_
_space_group_symop_operation_xyz
'x,y,z'
loop_
_atom_site_label
_atom_site_fract_x
_atom_site_fract_y
_atom_site_fract_z
_atom_site_occupancy
Ca1 0.000 0.000 0.000 1
Cr1 0.124 0.625 0.625 1
Cr2 0.625 0.124 0.625 1
Cr3 0.625 0.625 0.124 1
Cr4 0.625 0.625 0.625 1
Co1 0.250 0.250 0.250 1
```


# CaCrGaCo2

An optimized crystal structure of CaCrGaCo2 (GGA-PBEsol, Alexandria).

formation energy = 184.67 kJ/mol of atoms

Cell and atoms, written as CIF:
```
data_CaCrGaCo2
_chemical_formula_sum 'Ca1 Cr1 Ga1 Co2'
_cell_length_a 4.326
_cell_length_b 4.326
_cell_length_c 4.679
_cell_angle_alpha 90.00
_cell_angle_beta 90.00
_cell_angle_gamma 90.00
_space_group_name_H-M_alt 'P 1'
_space_group_IT_number 1
loop_
_space_group_symop_operation_xyz
'x,y,z'
loop_
_atom_site_label
_atom_site_fract_x
_atom_site_fract_y
_atom_site_fract_z
_atom_site_occupancy
Ca1 0.000 0.000 0.000 1
Cr1 0.000 0.000 0.500 1
Ga1 0.500 0.500 0.500 1
Co1 0.000 0.500 0.000 1
Co2 0.500 0.000 0.000 1
```


# Ca2CrCoN

An optimized crystal structure of Ca2CrCoN (GGA-PBEsol, Alexandria).

E_form (uncorrected) = -3 kJ per mole of atoms

Cell and atoms, written as CIF:
```
data_Ca2CrCoN
_chemical_formula_sum 'Ca2 Cr1 Co1 N1'
_cell_length_a 4.883
_cell_length_b 4.883
_cell_length_c 3.691
_cell_angle_alpha 90.00
_cell_angle_beta 90.00
_cell_angle_gamma 90.00
_space_group_name_H-M_alt 'P 1'
_space_group_IT_number 1
loop_
_space_group_symop_operation_xyz
'x,y,z'
loop_
_atom_site_label
_atom_site_fract_x
_atom_site_fract_y
_atom_site_fract_z
_atom_site_occupancy
Ca1 0.000 0.500 0.000 1
Ca2 0.500 0.000 0.000 1
Cr1 0.000 0.000 0.500 1
Co1 0.500 0.500 0.500 1
N1 0.000 0.000 0.000 1
```


# Ca2NbCrCo

An optimized crystal structure of Ca2NbCrCo (GGA-PBEsol, Alexandria).

formation energy = 132.40 kJ/mol of atoms

Cell and atoms, written as CIF:
```
data_Ca2NbCrCo
_chemical_formula_sum 'Ca2 Nb1 Cr1 Co1'
_cell_length_a 5.390
_cell_length_b 5.390
_cell_length_c 4.397
_cell_angle_alpha 90.00
_cell_angle_beta 90.00
_cell_angle_gamma 90.00
_space_group_name_H-M_alt 'P 1'
_space_group_IT_number 1
loop_
_space_group_symop_operation_xyz
'x,y,z'
loop_
_atom_site_label
_atom_site_fract_x
_atom_site_fract_y
_atom_site_fract_z
_atom_site_occupancy
Ca1 0.000 0.500 0.000 1
Ca2 0.500 0.000 0.000 1
Nb1 0.000 0.000 0.500 1
Cr1 0.000 0.000 0.000 1
Co1 0.500 0.500 0.500 1
```


# CsCa3Co

An optimized crystal structure of CsCa3Co (GGA-PBEsol, Alexandria).

formation energy = 163.13 kJ/mol of atoms

Cell and atoms, written as CIF:
```
data_CsCa3Co
_chemical_formula_sum 'Cs1 Ca3 Co1'
_cell_length_a 5.640
_cell_length_b 5.640
_cell_length_c 5.640
_cell_angle_alpha 90.00
_cell_angle_beta 90.00
_cell_angle_gamma 90.00
_space_group_name_H-M_alt 'P 1'
_space_group_IT_number 1
loop_
_space_group_symop_operation_xyz
'x,y,z'
loop_
_atom_site_label
_atom_site_fract_x
_atom_site_fract_y
_atom_site_fract_z
_atom_site_occupancy
Cs1 0.000 0.000 0.000 1
Ca1 0.000 0.000 0.500 1
Ca2 0.000 0.500 0.000 1
Ca3 0.500 0.000 0.000 1
Co1 0.500 0.500 0.500 1
```


# CsCaCo3

An optimized crystal structure of CsCaCo3 (GGA-PBEsol, Alexandria).

formation energy = 186.87 kJ/mol of atoms

Cell and atoms, written as CIF:
```
data_CsCaCo3
_chemical_formula_sum 'Cs1 Ca1 Co3'
_cell_length_a 5.198
_cell_length_b 5.198
_cell_length_c 5.198
_cell_angle_alpha 90.00
_cell_angle_beta 90.00
_cell_angle_gamma 90.00
_space_group_name_H-M_alt 'P 1'
_space_group_IT_number 1
loop_
_space_group_symop_operation_xyz
'x,y,z'
loop_
_atom_site_label
_atom_site_fract_x
_atom_site_fract_y
_atom_site_fract_z
_atom_site_occupancy
Cs1 0.000 0.000 0.000 1
Ca1 0.500 0.500 0.500 1
Co1 0.000 0.500 0.500 1
Co2 0.500 0.000 0.500 1
Co3 0.500 0.500 0.000 1
```


# CsCaCoCu2

An optimized crystal structure of CsCaCoCu2 (GGA-PBEsol, Alexandria).

formation energy = 161.64 kJ/mol of atoms

Cell and atoms, written as CIF:
```
data_CsCaCoCu2
_chemical_formula_sum 'Cs1 Ca1 Co1 Cu2'
_cell_length_a 5.182
_cell_length_b 5.182
_cell_length_c 6.674
_cell_angle_alpha 90.00
_cell_angle_beta 90.00
_cell_angle_gamma 90.00
_space_group_name_H-M_alt 'P 1'
_space_group_IT_number 1
loop_
_space_group_symop_operation_xyz
'x,y,z'
loop_
_atom_site_label
_atom_site_fract_x
_atom_site_fract_y
_atom_site_fract_z
_atom_site_occupancy
Cs1 0.000 0.000 0.000 1
Ca1 0.000 0.000 0.500 1
Co1 0.500 0.500 0.000 1
Cu1 0.000 0.500 0.500 1
Cu2 0.500 0.000 0.500 1
```


# Cs2CaZrCo

An optimized crystal structure of Cs2CaZrCo (GGA-PBEsol, Alexandria).

formation energy = 173.11 kJ/mol of atoms

Cell and atoms, written as CIF:
```
data_Cs2CaZrCo
_chemical_formula_sum 'Cs2 Ca1 Zr1 Co1'
_cell_length_a 6.587
_cell_length_b 6.587
_cell_length_c 6.227
_cell_angle_alpha 90.00
_cell_angle_beta 90.00
_cell_angle_gamma 90.00
_space_group_name_H-M_alt 'P 1'
_space_group_IT_number 1
loop_
_space_group_symop_operation_xyz
'x,y,z'
loop_
_atom_site_label
_atom_site_fract_x
_atom_site_fract_y
_atom_site_fract_z
_atom_site_occupancy
Cs1 0.000 0.500 0.000 1
Cs2 0.500 0.000 0.000 1
Ca1 0.000 0.000 0.500 1
Zr1 0.000 0.000 0.000 1
Co1 0.500 0.500 0.500 1
```


# CaCoCu2

An optimized crystal structure of CaCoCu2 (GGA-PBEsol, Alexandria).

formation energy = 36.29 kJ/mol of atoms

Cell and atoms, written as CIF:
```
data_CaCoCu2
_chemical_formula_sum 'Ca1 Co1 Cu2'
_cell_length_a 4.742
_cell_length_b 4.742
_cell_length_c 4.742
_cell_angle_alpha 131.71
_cell_angle_beta 131.71
_cell_angle_gamma 70.69
_space_group_name_H-M_alt 'P 1'
_space_group_IT_number 1
loop_
_space_group_symop_operation_xyz
'x,y,z'
loop_
_atom_site_label
_atom_site_fract_x
_atom_site_fract_y
_atom_site_fract_z
_atom_site_occupancy
Ca1 0.000 0.000 0.000 1
Co1 0.500 0.500 0.000 1
Cu1 0.250 0.750 0.500 1
Cu2 0.750 0.250 0.500 1
```


# CaCoCu

An optimized crystal structure of CaCoCu (GGA-PBEsol, Alexandria).

formation energy = 61.86 kJ/mol of atoms

Cell and atoms, written as CIF:
```
data_CaCoCu
_chemical_formula_sum 'Ca1 Co1 Cu1'
_cell_length_a 4.270
_cell_length_b 4.270
_cell_length_c 4.270
_cell_angle_alpha 60.00
_cell_angle_beta 60.00
_cell_angle_gamma 60.00
_space_group_name_H-M_alt 'P 1'
_space_group_IT_number 1
loop_
_space_group_symop_operation_xyz
'x,y,z'
loop_
_atom_site_label
_atom_site_fract_x
_atom_site_fract_y
_atom_site_fract_z
_atom_site_occupancy
Ca1 0.000 0.000 0.000 1
Co1 0.250 0.250 0.250 1
Cu1 0.500 0.500 0.500 1
```


# CaCo4Cu3O12

An optimized crystal structure of CaCo4Cu3O12 (GGA-PBEsol, Alexandria).

E_form (uncorrected) = -105 kJ per mole of atoms

Cell and atoms, written as CIF:
```
data_CaCo4Cu3O12
_chemical_formula_sum 'Ca1 Co4 Cu3 O12'
_cell_length_a 6.108
_cell_length_b 6.108
_cell_length_c 6.108
_cell_angle_alpha 109.47
_cell_angle_beta 109.47
_cell_angle_gamma 109.47
_space_group_name_H-M_alt 'P 1'
_space_group_IT_number 1
loop_
_space_group_symop_operation_xyz
'x,y,z'
loop_
_atom_site_label
_atom_site_fract_x
_atom_site_fract_y
_atom_site_fract_z
_atom_site_occupancy
Ca1 0.000 0.000 0.000 1
Co1 0.000 0.000 0.500 1
Co2 0.000 0.500 0.000 1
Co3 0.500 0.000 0.000 1
Co4 0.500 0.500 0.500 1
Cu1 0.000 0.500 0.500 1
Cu2 0.500 0.000 0.500 1
Cu3 0.500 0.500 0.000 1
O1 0.129 0.823 0.306 1
O2 0.177 0.306 0.482 1
O3 0.177 0.694 0.871 1
O4 0.306 0.129 0.823 1
O5 0.306 0.482 0.177 1
O6 0.482 0.177 0.306 1
O7 0.518 0.823 0.694 1
O8 0.694 0.518 0.823 1
O9 0.694 0.871 0.177 1
O10 0.823 0.306 0.129 1
O11 0.823 0.694 0.518 1
O12 0.871 0.177 0.694 1
```


# CaV4CoCu2O12

An optimized crystal structure of CaV4CoCu2O12 (GGA-PBEsol, Alexandria).

E_form (uncorrected) = -192 kJ per mole of atoms

Cell and atoms, written as CIF:
```
data_CaV4CoCu2O12
_chemical_formula_sum 'Ca1 V4 Co1 Cu2 O12'
_cell_length_a 6.255
_cell_length_b 6.255
_cell_length_c 6.255
_cell_angle_alpha 109.72
_cell_angle_beta 109.65
_cell_angle_gamma 109.05
_space_group_name_H-M_alt 'P 1'
_space_group_IT_number 1
loop_
_space_group_symop_operation_xyz
'x,y,z'
loop_
_atom_site_label
_atom_site_fract_x
_atom_site_fract_y
_atom_site_fract_z
_atom_site_occupancy
Ca1 0.000 0.000 0.000 1
V1 0.000 0.000 0.500 1
V2 0.000 0.500 0.000 1
V3 0.500 0.000 0.000 1
V4 0.500 0.500 0.500 1
Co1 0.000 0.500 0.500 1
Cu1 0.500 0.000 0.500 1
Cu2 0.500 0.500 0.000 1
O1 0.117 0.816 0.301 1
O2 0.181 0.304 0.485 1
O3 0.181 0.696 0.877 1
O4 0.299 0.116 0.817 1
O5 0.299 0.483 0.183 1
O6 0.485 0.184 0.301 1
O7 0.515 0.816 0.699 1
O8 0.701 0.517 0.817 1
O9 0.701 0.884 0.183 1
O10 0.819 0.304 0.123 1
O11 0.819 0.696 0.515 1
O12 0.883 0.184 0.699 1
```